Entry 1:
# SnP3O9 PBE relaxed
# relative energy among the computed polymorphs: 51 meV/atom
# magnetization: 0.000 μB per atom
data_SnP3O9
_cell_length_a 14.053
_cell_length_b 6.806
_cell_length_c 10.069
_cell_angle_alpha 90.00
_cell_angle_beta 128.60
_cell_angle_gamma 90.00
_space_group_name_H-M_alt 'C 1 c 1'
_space_group_IT_number 9
loop_
_space_group_symop_operation_xyz
'x,y,z'
'x,-y,z+1/2'
'x+1/2,y+1/2,z'
'x+1/2,-y+1/2,z+1/2'
loop_
_atom_site_label
_atom_site_fract_x
_atom_site_fract_y
_atom_site_fract_z
_atom_site_occupancy
Sn1 0.000 0.233 0.000 1
P1 0.147 0.407 0.830 1
P2 0.256 0.084 0.768 1
P3 0.350 0.399 0.664 1
O1 0.057 0.312 0.843 1
O2 0.095 0.498 0.162 1
O3 0.129 0.035 0.611 1
O4 0.224 0.430 0.476 1
O5 0.252 0.251 0.879 1
O6 0.328 0.188 0.710 1
O7 0.336 0.078 0.388 1
O8 0.359 0.448 0.280 1
O9 0.455 0.381 0.661 1

---

Entry 2:
# TbPmHo4S8 PBE relaxed
# magnetization: 0.000 μB per atom
data_TbPmHo4S8
_cell_length_a 8.0578
_cell_length_b 8.0578
_cell_length_c 19.7958
_cell_angle_alpha 90.00
_cell_angle_beta 90.00
_cell_angle_gamma 120.00
_space_group_name_H-M_alt 'R 3 m'
_space_group_IT_number 160
_space_group_name_Hall 'R 3 -2"'
loop_
_atom_site_label
_atom_site_fract_x
_atom_site_fract_y
_atom_site_fract_z
_atom_site_occupancy
Tb1 0.0000 0.0000 0.0000 1
Pm1 0.0000 0.0000 0.6249 1
Ho1 0.0000 0.0000 0.3741 1
Ho2 0.1674 0.3349 0.8325 1
S1 0.0000 0.0000 0.2420 1
S2 0.0000 0.0000 0.7606 1
S3 0.0170 0.5085 0.7527 1
S4 0.1799 0.3599 0.5783 1

---

Entry 3:
# Dy2SiSnRh6 PBE relaxed
# magnetization: 0.000 μB per atom
data_Dy2SiSnRh6
_cell_length_a 6.050
_cell_length_b 6.059
_cell_length_c 7.362
_cell_angle_alpha 66.96
_cell_angle_beta 66.72
_cell_angle_gamma 60.51
_space_group_name_H-M_alt 'P -1'
_space_group_IT_number 2
loop_
_space_group_symop_operation_xyz
'x,y,z'
'-x,-y,-z'
loop_
_atom_site_label
_atom_site_fract_x
_atom_site_fract_y
_atom_site_fract_z
_atom_site_occupancy
Dy1 0.235 0.234 0.292 1
Si1 0.500 0.500 0.500 1
Sn1 0.000 0.000 0.000 1
Rh1 0.183 0.739 0.331 1
Rh2 0.258 0.260 0.678 1
Rh3 0.260 0.820 0.667 1

---

Entry 4:
# ZnN PBE relaxed
# relative energy among the computed polymorphs: 408 meV/atom
# magnetization: 0.000 μB per atom
data_ZnN
_cell_length_a 3.2193
_cell_length_b 3.2193
_cell_length_c 5.4090
_cell_angle_alpha 90.00
_cell_angle_beta 90.00
_cell_angle_gamma 120.00
_space_group_name_H-M_alt 'P 63 m c'
_space_group_IT_number 186
_space_group_name_Hall 'P 6c -2c'
loop_
_atom_site_label
_atom_site_fract_x
_atom_site_fract_y
_atom_site_fract_z
_atom_site_occupancy
Zn1 0.3333 0.6667 0.0000 1
N1 0.3333 0.6667 0.6339 1

---

no.,uncorrected formation energy (meV/atom),E (eV/cell)
1,-1944,-360.491
2,-1928,-263.110
3,-482,-67.563
4,635,-16.657